No. 1
# SrLi2AlCu, relaxed, DFT PBE-GGA
data_SrLi2AlCu
_space_group_name_H-M_alt 'P 4/m m m'
_space_group_IT_number 123
_space_group_name_Hall '-P 4 2'
_cell_length_a 4.929
_cell_length_b 4.929
_cell_length_c 4.698
_cell_angle_alpha 90.00
_cell_angle_beta 90.00
_cell_angle_gamma 90.00
loop_
_atom_site_label
_atom_site_fract_x
_atom_site_fract_y
_atom_site_fract_z
Sr1 0.000 0.000 0.000
Li1 0.000 0.500 0.500
Al1 0.500 0.500 0.000
Cu1 0.500 0.500 0.500
# Formation enthalpy at 0 K: -0.039 eV/atom
# Spin magnetization: 0.000 μB per atom

---

No. 2
# Sr2Li3AlCu12, relaxed, DFT PBE-GGA
data_Sr2Li3AlCu12
_space_group_name_H-M_alt 'R -3 m'
_space_group_IT_number 166
_space_group_name_Hall '-R 3 2"'
_cell_length_a 6.1657
_cell_length_b 6.1657
_cell_length_c 27.6759
_cell_angle_alpha 90.00
_cell_angle_beta 90.00
_cell_angle_gamma 120.00
loop_
_atom_site_label
_atom_site_fract_x
_atom_site_fract_y
_atom_site_fract_z
Sr1 0.0000 0.0000 0.1491
Li1 0.0000 0.5000 0.0000
Al1 0.0000 0.0000 0.5000
Cu1 0.0591 0.5296 0.0928
Cu2 0.0726 0.5363 0.6185
# Formation enthalpy at 0 K: 0.122 eV/atom
# Spin magnetization: 0.000 μB per atom